# 1
The following is a GGA-PBE calculation of a relaxed GaSi2HBr crystal, from Alexandria via LeMat-Bulk.

Results
E in eV per atom: -2.65
D(E_F) in states/eV/f.u.: 3.34
Space-group type: P4/mmm (123)

a b c (Å): 4.8700 5.4406 4.8700
angles (deg): 90.00 90.00 90.00
Each line ends with the local moment (μB).
Atoms (fractional coordinates):
Si: 0.5000 0.0000 0.0000  -0.04
Si: 0.0000 0.0000 0.5000  -0.02
Br: 0.0000 0.5000 0.0000  0.00
Ga: 0.0000 0.0000 0.0000  0.00
H: 0.5000 0.5000 0.5000  0.33

***

# 2
The following is a GGA-PBE calculation of a relaxed LaCuSi2Rh crystal, from Alexandria via LeMat-Bulk.

Results
E in eV per atom: -6.22
D(E_F) in states/eV/f.u.: 2.98
Formation energy without anion corrections in meV per atom: -772
Space-group type: I-4m2 (119)

a b c (Å): 4.1884 4.1884 5.8155
angles (deg): 111.11 111.11 90.00
Atoms (fractional coordinates):
Cu: 0.2500 0.7500 0.5000
La: 0.0000 0.0000 0.0000
Si: 0.3761 0.3761 0.7522
Si: 0.6239 0.6239 0.2478
Rh: 0.7500 0.2500 0.5000

***

# 3
The following is a GGA-PBE calculation of a relaxed Zr2AgAs2 crystal, from Alexandria via LeMat-Bulk.

Results
E in eV per atom: -6.45
Energy relative to the lowest polymorph listed for this composition in eV per atom: 0.118
D(E_F) in states/eV/f.u.: 4.25
DFT formation energy in eV/atom: -0.598
Space-group type: P4/mbm (127)

a b c (Å): 7.5824 7.5824 3.5344
angles (deg): 90.00 90.00 90.00
Atoms (fractional coordinates):
As: 0.1503 0.6503 0.5000
As: 0.3497 0.1503 0.5000
As: 0.6503 0.8497 0.5000
As: 0.8497 0.3497 0.5000
Zr: 0.8544 0.6456 0.0000
Zr: 0.1456 0.3544 0.0000
Zr: 0.6456 0.1456 0.0000
Zr: 0.3544 0.8544 0.0000
Ag: 0.5000 0.5000 0.0000
Ag: 0.0000 0.0000 0.0000

***

# 4
The following is a GGA-PBE calculation of a relaxed Pr2VSe5 crystal, from Alexandria via LeMat-Bulk.

Results
E in eV per atom: -5.76
D(E_F) in states/eV/f.u.: 1.58
Formation energy without anion corrections in meV per atom: -1245
Space-group type: Cm (8)

a b c (Å): 7.2193 7.2194 6.0963
angles (deg): 123.08 123.09 83.91
Each line ends with the local moment (μB).
Atoms (fractional coordinates):
Pr: 0.3322 0.8244 0.5859  0.01
Pr: 0.8244 0.3322 0.5858  0.01
Se: 0.6508 0.6508 0.3864  -0.09
Se: 0.7069 0.2210 0.9220  -0.03
Se: 0.2210 0.7069 0.9221  -0.03
Se: 0.8546 0.8546 0.1704  -0.02
Se: 0.2474 0.2474 0.0871  -0.03
V: 0.9397 0.9398 0.8942  1.06

***

# 5
The following is a GGA-PBE calculation of a relaxed Ba2Cd5Pb3 crystal, from Alexandria via LeMat-Bulk.

Results
E in eV per atom: -2.27
Energy relative to the lowest polymorph listed for this composition in eV per atom: 0.000
D(E_F) in states/eV/f.u.: 3.59
DFT formation energy in eV/atom: -0.314
Space-group type: Ibam (72)

a b c (Å): 7.0888 10.1006 10.1006
angles (deg): 75.85 69.46 69.46
Atoms (fractional coordinates):
Cd: 0.0074 0.7426 0.7426
Cd: 0.5074 0.7426 0.7426
Cd: 0.4926 0.2574 0.2574
Cd: 0.9926 0.2574 0.2574
Cd: 0.8630 0.0127 0.2614
Cd: 0.1370 0.9873 0.7386
Cd: 0.6370 0.7386 0.9873
Cd: 0.3630 0.2614 0.0127
Cd: 0.2500 0.5000 0.5000
Cd: 0.7500 0.5000 0.5000
Pb: 0.6227 0.5181 0.2365
Pb: 0.3773 0.4819 0.7635
Pb: 0.2500 0.0000 0.0000
Pb: 0.1227 0.2365 0.5181
Pb: 0.8773 0.7635 0.4819
Pb: 0.7500 0.0000 0.0000
Ba: 0.8766 0.3675 0.8792
Ba: 0.6234 0.1208 0.6325
Ba: 0.1234 0.6325 0.1208
Ba: 0.3766 0.8792 0.3675

***

# 6
The following is a GGA-PBE calculation of a relaxed CsGeSe2 crystal, from Alexandria via LeMat-Bulk.

Results
E in eV per atom: -3.77
D(E_F) in states/eV/f.u.: 0.81
Formation energy without anion corrections in meV per atom: -655
Space-group type: C2/c (15)

a b c (Å): 8.2452 7.4975 7.4975
angles (deg): 65.92 112.53 67.47
Atoms (fractional coordinates):
Ge: 0.7500 0.2538 0.7538
Ge: 0.2500 0.7462 0.2462
Se: 0.1024 0.1992 0.0216
Se: 0.8976 0.8008 0.9784
Se: 0.3976 0.5216 0.6992
Se: 0.6024 0.4784 0.3008
Cs: 0.2500 0.1117 0.6117
Cs: 0.7500 0.8883 0.3883

***

# 7
The following is a GGA-PBE calculation of a relaxed Ho2In2Te7 crystal, from Alexandria via LeMat-Bulk.

Results
E in eV per atom: -3.95
Formation energy without anion corrections in meV per atom: -621
Space-group type: C2/m (12)

a b c (Å): 7.7083 8.0876 8.0876
angles (deg): 110.97 102.32 102.32
Atoms (fractional coordinates):
Te: 0.7672 0.5211 0.8984
Te: 0.7672 0.8984 0.5211
Te: 0.2328 0.1016 0.4789
Te: 0.2328 0.4789 0.1016
Te: 0.5000 0.0000 0.0000
Te: 0.2306 0.6536 0.6536
Te: 0.7694 0.3464 0.3464
In: 0.3651 0.2580 0.2580
In: 0.6349 0.7420 0.7420
Ho: 0.0000 0.3091 0.6909
Ho: 0.0000 0.6909 0.3091

***

# 8
The following is a GGA-PBE calculation of a relaxed P2RhPb crystal, from Alexandria via LeMat-Bulk.

Results
E in eV per atom: -5.56
D(E_F) in states/eV/f.u.: 2.36
DFT formation energy in eV/atom: -0.089
Space-group type: I-42d (122)

a b c (Å): 5.7963 5.7963 7.0087
angles (deg): 65.57 65.57 90.00
Atoms (fractional coordinates):
Rh: 0.2500 0.7500 0.5000
Rh: 0.5000 0.5000 0.0000
P: 0.2009 0.6250 0.2500
P: 0.5491 0.1250 0.2500
P: 0.3750 0.4509 0.7500
P: 0.8750 0.7991 0.7500
Pb: 0.0000 0.0000 0.0000
Pb: 0.7500 0.2500 0.5000

***

# 9
The following is a GGA-PBE calculation of a relaxed Ba2SrTm6O12 crystal, from Alexandria via LeMat-Bulk.

Results
E in eV per atom: -7.71
D(E_F) in states/eV/f.u.: 0.00
Formation energy without anion corrections in meV per atom: -3335
Space-group type: P-6 (174)

a b c (Å): 10.3113 10.3113 3.4308
angles (deg): 90.00 90.00 120.00
Atoms (fractional coordinates):
Tm: 0.6499 0.6551 0.7381
Tm: 0.0052 0.3501 0.7381
Tm: 0.3453 0.3463 0.2381
Tm: 0.0010 0.6547 0.2381
Tm: 0.6537 0.9990 0.2381
Tm: 0.3449 0.9948 0.7381
O: 0.1765 0.8975 0.2380
O: 0.8026 0.1207 0.7381
O: 0.4806 0.8707 0.7381
O: 0.1293 0.6100 0.7381
O: 0.8940 0.4035 0.2380
O: 0.1025 0.2790 0.2380
O: 0.7210 0.8235 0.2380
O: 0.5965 0.4905 0.2380
O: 0.3900 0.5194 0.7381
O: 0.5095 0.1060 0.2380
O: 0.8793 0.6819 0.7381
O: 0.3181 0.1974 0.7381
Ba: 0.0000 0.0000 0.7385
Ba: 0.6667 0.3333 0.7380
Sr: 0.3333 0.6667 0.2380

***

# 10
The following is a GGA-PBE calculation of a relaxed ThMgHgAu crystal, from Alexandria via LeMat-Bulk.

Results
E in eV per atom: -3.63
D(E_F) in states/eV/f.u.: 2.29
DFT formation energy in eV/atom: -0.483
Space-group type: F-43m (216)

a b c (Å): 5.1224 5.1224 5.1224
angles (deg): 60.00 60.00 60.00
Atoms (fractional coordinates):
Mg: 0.2500 0.2500 0.2500
Hg: 0.5000 0.5000 0.5000
Au: 0.0000 0.0000 0.0000
Th: 0.7500 0.7500 0.7500

***

# 11
The following is a GGA-PBE calculation of a relaxed Hf2SnPt crystal, from Alexandria via LeMat-Bulk.

Results
E in eV per atom: -8.08
D(E_F) in states/eV/f.u.: 3.49
DFT formation energy in eV/atom: -0.588
Space-group type: P4/mmm (123)

a b c (Å): 3.1367 3.1367 8.1583
angles (deg): 90.00 90.00 90.00
Atoms (fractional coordinates):
Sn: 0.5000 0.5000 0.5000
Pt: 0.5000 0.5000 0.0000
Hf: 0.0000 0.0000 0.7774
Hf: 0.0000 0.0000 0.2226

***

# 12
The following is a GGA-PBE calculation of a relaxed CeErZnCu crystal, from Alexandria via LeMat-Bulk.

Results
E in eV per atom: -4.14
D(E_F) in states/eV/f.u.: 7.67
DFT formation energy in eV/atom: -0.178
Space-group type: F-43m (216)

a b c (Å): 5.0117 5.0117 5.0117
angles (deg): 60.00 60.00 60.00
Each line ends with the local moment (μB).
Atoms (fractional coordinates):
Zn: 0.7500 0.7500 0.7500  0.01
Cu: 0.2500 0.2500 0.2500  0.02
Ce: 0.5000 0.5000 0.5000  0.62
Er: 0.0000 0.0000 0.0000  0.08

***

# 13
The following is a GGA-PBE calculation of a relaxed In5Ga2Sn4 crystal, from Alexandria via LeMat-Bulk.

Results
E in eV per atom: -3.20
Energy relative to the lowest polymorph listed for this composition in eV per atom: 0.000
D(E_F) in states/eV/f.u.: 4.83
DFT formation energy in eV/atom: 0.054
Space-group type: C2/m (12)

a b c (Å): 3.2463 8.7114 11.0267
angles (deg): 108.17 98.46 90.00
Atoms (fractional coordinates):
In: 0.1823 0.9248 0.3646
In: 0.8721 0.7809 0.7442
In: 0.5000 0.0000 0.0000
In: 0.8177 0.0752 0.6354
In: 0.1279 0.2191 0.2558
Sn: 0.7239 0.6393 0.4478
Sn: 0.9619 0.2952 0.9239
Sn: 0.2761 0.3607 0.5522
Sn: 0.0381 0.7048 0.0761
Ga: 0.4158 0.5343 0.8316
Ga: 0.5842 0.4657 0.1684

***

# 14
The following is a GGA-PBE calculation of a relaxed Ce2Ga5CoRu2 crystal, from Alexandria via LeMat-Bulk.

Results
E in eV per atom: -5.63
D(E_F) in states/eV/f.u.: 11.35
DFT formation energy in eV/atom: -0.362
Space-group type: P4/mbm (127)

a b c (Å): 3.0860 10.5531 10.5531
angles (deg): 90.00 90.00 90.00
Each line ends with the local moment (μB).
Atoms (fractional coordinates):
Ce: 0.0000 0.3162 0.8162  0.32
Ce: 0.0000 0.8162 0.6838  0.32
Ce: 0.0000 0.1838 0.3162  0.32
Ce: 0.0000 0.6838 0.1838  0.32
Ga: 0.5000 0.5480 0.6825  0.00
Ga: 0.5000 0.1825 0.0480  0.00
Ga: 0.5000 0.3175 0.5480  0.00
Ga: 0.5000 0.4520 0.3175  0.00
Ga: 0.5000 0.8175 0.9520  0.00
Ga: 0.5000 0.6825 0.4520  0.00
Ga: 0.5000 0.9520 0.1825  0.00
Ga: 0.5000 0.0000 0.5000  0.01
Ga: 0.5000 0.0480 0.8175  0.00
Ga: 0.5000 0.5000 0.0000  0.01
Co: 0.0000 0.0000 0.0000  0.34
Co: 0.0000 0.5000 0.5000  0.34
Ru: 0.0000 0.3623 0.1377  -0.03
Ru: 0.0000 0.8623 0.3623  -0.03
Ru: 0.0000 0.1377 0.6377  -0.03
Ru: 0.0000 0.6377 0.8623  -0.03

***

# 15
The following is a GGA-PBE calculation of a relaxed Er3PuAs4 crystal, from Alexandria via LeMat-Bulk.

Results
E in eV per atom: -7.21
Energy relative to the lowest polymorph listed for this composition in eV per atom: 0.003
D(E_F) in states/eV/f.u.: 14.72
DFT formation energy in eV/atom: -1.381
Space-group type: Pm-3m (221)

a b c (Å): 5.7879 5.7879 5.7879
angles (deg): 90.00 90.00 90.00
Each line ends with the local moment (μB).
Atoms (fractional coordinates):
As: 0.0000 0.5000 0.0000  0.07
As: 0.0000 0.0000 0.5000  0.07
As: 0.5000 0.5000 0.5000  -0.01
As: 0.5000 0.0000 0.0000  0.07
Er: 0.5000 0.0000 0.5000  -0.01
Er: 0.0000 0.5000 0.5000  -0.01
Er: 0.5000 0.5000 0.0000  -0.01
Pu: 0.0000 0.0000 0.0000  -4.95

***

# 16
The following is a GGA-PBE calculation of a relaxed BePPb crystal, from Alexandria via LeMat-Bulk.

Results
E in eV per atom: -4.34
Energy relative to the lowest polymorph listed for this composition in eV per atom: 0.000
D(E_F) in states/eV/f.u.: 0.89
DFT formation energy in eV/atom: -0.062
Space-group type: P-6m2 (187)

a b c (Å): 5.1658 3.6477 3.6477
angles (deg): 120.00 90.00 90.00
Atoms (fractional coordinates):
Be: 0.1672 0.3333 0.6667
P: 0.1663 0.0000 0.0000
Pb: 0.6665 0.6667 0.3333

***

# 17
The following is a GGA-PBE calculation of a relaxed NaMnPt crystal, from Alexandria via LeMat-Bulk.

Results
E in eV per atom: -5.36
Energy relative to the lowest polymorph listed for this composition in eV per atom: 0.236
D(E_F) in states/eV/f.u.: 1.87
DFT formation energy in eV/atom: 0.154
Space-group type: C2/m (12)

a b c (Å): 7.9921 4.2670 2.8569
angles (deg): 90.00 90.46 105.48
Atoms (fractional coordinates):
Mn: 0.2842 0.1578 0.3588
Mn: 0.0931 0.0620 0.8545
Pt: 0.0008 0.5159 0.3503
Pt: 0.3764 0.7038 0.8629
Na: 0.7498 0.8901 0.3603
Na: 0.6274 0.3290 0.8517

***

# 18
The following is a GGA-PBE calculation of a relaxed Mo2WAu crystal, from Alexandria via LeMat-Bulk.

Results
E in eV per atom: -9.18
Energy relative to the lowest polymorph listed for this composition in eV per atom: 0.147
D(E_F) in states/eV/f.u.: 3.25
DFT formation energy in eV/atom: 0.295
Space-group type: I4/mmm (139)

a b c (Å): 4.8521 4.8521 4.8521
angles (deg): 130.30 130.30 72.93
Atoms (fractional coordinates):
Au: 0.7500 0.2500 0.5000
Mo: 0.0000 0.0000 0.0000
Mo: 0.5000 0.5000 0.0000
W: 0.2500 0.7500 0.5000

***

# 19
The following is a GGA-PBE calculation of a relaxed Ac2HgTe2O2 crystal, from Alexandria via LeMat-Bulk.

Results
E in eV per atom: -5.46
D(E_F) in states/eV/f.u.: 0.66
Formation energy without anion corrections in meV per atom: -1929
Space-group type: P-3m1 (164)

a b c (Å): 4.3909 4.3909 12.8439
angles (deg): 90.00 90.00 120.00
Atoms (fractional coordinates):
Ac: 0.3333 0.6667 0.6211
Ac: 0.6667 0.3333 0.3789
Te: 0.0000 0.0000 0.7956
Te: 0.0000 0.0000 0.2044
Hg: 0.0000 0.0000 0.0000
O: 0.3333 0.6667 0.4289
O: 0.6667 0.3333 0.5711

***

# 20
The following is a GGA-PBE calculation of a relaxed Li4TaNb3N8 crystal, from Alexandria via LeMat-Bulk.

Results
E in eV per atom: -8.17
Formation energy without anion corrections in meV per atom: -903
Space-group type: R-3m (166)

a b c (Å): 6.2117 6.2390 6.2115
angles (deg): 119.86 120.00 90.00
Atoms (fractional coordinates):
Nb: 0.0000 0.5000 0.5000
Nb: 0.5000 0.5000 0.5000
Nb: 0.5000 0.5000 0.0000
Li: 0.5000 0.0000 0.0000
Li: 0.0000 0.0000 0.0000
Li: 0.0000 0.0000 0.5000
Li: 0.5000 0.0000 0.5000
N: 0.7609 0.2796 0.0186
N: 0.7423 0.7204 0.9814
N: 0.2391 0.7204 0.9814
N: 0.2391 0.7204 0.4781
N: 0.2596 0.2789 0.5192
N: 0.2577 0.2796 0.0186
N: 0.7609 0.2796 0.5219
N: 0.7404 0.7211 0.4808
Ta: 0.0000 0.5000 0.0000

***

# 21
The following is a GGA-PBE calculation of a relaxed PIrAu2 crystal, from Alexandria via LeMat-Bulk.

Results
E in eV per atom: -4.64
D(E_F) in states/eV/f.u.: 2.08
DFT formation energy in eV/atom: 0.569
Space-group type: P4/mmm (123)

a b c (Å): 4.9146 4.9146 2.7676
angles (deg): 90.00 90.00 90.00
Atoms (fractional coordinates):
P: 0.0000 0.5000 0.5000
Ir: 0.5000 0.0000 0.5000
Au: 0.5000 0.5000 0.0000
Au: 0.0000 0.0000 0.0000

***

# 22
The following is a GGA-PBE calculation of a relaxed HoThMgIn crystal, from Alexandria via LeMat-Bulk.

Results
E in eV per atom: -4.26
D(E_F) in states/eV/f.u.: 3.40
DFT formation energy in eV/atom: -0.177
Space-group type: F-43m (216)

a b c (Å): 5.3819 5.3819 5.3819
angles (deg): 60.00 60.00 60.00
Atoms (fractional coordinates):
Ho: 0.2500 0.2500 0.2500
Th: 0.7500 0.7500 0.7500
In: 0.5000 0.5000 0.5000
Mg: 0.0000 0.0000 0.0000

***

# 23
The following is a GGA-PBE calculation of a relaxed CdIn2P crystal, from Alexandria via LeMat-Bulk.

Results
E in eV per atom: -2.70
Energy relative to the lowest polymorph listed for this composition in eV per atom: 0.233
D(E_F) in states/eV/f.u.: 1.74
DFT formation energy in eV/atom: 0.251
Space-group type: I-4m2 (119)

a b c (Å): 5.4279 5.4279 5.4279
angles (deg): 129.26 129.26 74.59
Atoms (fractional coordinates):
Cd: 0.7500 0.2500 0.5000
In: 0.2500 0.7500 0.5000
In: 0.0000 0.0000 0.0000
P: 0.5000 0.5000 0.0000

***

# 24
The following is a GGA-PBE calculation of a relaxed PrTmMgZn crystal, from Alexandria via LeMat-Bulk.

Results
E in eV per atom: -3.23
Energy relative to the lowest polymorph listed for this composition in eV per atom: 0.000
D(E_F) in states/eV/f.u.: 4.22
DFT formation energy in eV/atom: -0.202
Space-group type: P4mm (99)

a b c (Å): 3.6208 3.6208 7.9151
angles (deg): 90.00 90.00 90.00
Atoms (fractional coordinates):
Zn: 0.5000 0.5000 0.1307
Pr: 0.0000 0.0000 0.8805
Tm: 0.0000 0.0000 0.3279
Mg: 0.5000 0.5000 0.5888